Entry 1:
{"formula": "KSrIr2", "functional": "PBE-GGA", "state": "optimized geometry", "de_polymorph_kj_per_mol_fu": 210.0, "energy_ev_per_atom": -4.414, "e_form_ev_per_atom": 0.711, "spacegroup": "No. 12", "lattice_angstrom": [[2.750, -4.751, 0.000], [2.750, 4.751, 0.000], [-0.033, 0.000, 3.355]], "species": ["K", "Sr", "Ir", "Ir"], "frac_coords": [[0.000, 0.000, 0.000], [0.500, 0.500, 0.000], [0.000, 0.500, 0.500], [0.500, 0.000, 0.500]]}

Entry 2:
{"formula": "K2SrIr", "functional": "PBE-GGA", "state": "optimized geometry", "de_polymorph_kj_per_mol_fu": 0.0, "energy_ev_per_atom": -2.891, "e_form_ev_per_atom": 0.294, "spacegroup": "No. 71", "lattice_angstrom": [[-1.794, 2.448, 9.581], [1.794, -2.448, 9.581], [1.794, 2.448, -9.581]], "species": ["K", "K", "Sr", "Ir"], "frac_coords": [[0.152, 0.152, 0.000], [0.848, 0.848, 0.000], [0.500, 0.000, 0.500], [0.000, 0.500, 0.500]]}

Entry 3:
{"formula": "K2Sr6Ir", "functional": "PBE-GGA", "state": "optimized geometry", "energy_ev_per_atom": -2.413, "e_form_ev_per_atom": -0.063, "spacegroup": "No. 12", "lattice_angstrom": [[7.540, -4.356, 0.000], [7.540, 4.356, 0.000], [-5.033, 0.000, 7.110]], "species": ["K", "K", "Sr", "Sr", "Sr", "Sr", "Sr", "Sr", "Ir"], "frac_coords": [[0.250, 0.250, 0.250], [0.750, 0.750, 0.750], [0.239, 0.239, 0.740], [0.239, 0.761, 0.261], [0.239, 0.761, 0.739], [0.761, 0.239, 0.261], [0.761, 0.239, 0.739], [0.761, 0.761, 0.260], [0.000, 0.000, 0.500]]}

Entry 4:
{"formula": "K2SrIr", "functional": "PBE-GGA", "state": "optimized geometry", "de_polymorph_kj_per_mol_fu": 131.1, "energy_ev_per_atom": -2.551, "e_form_ev_per_atom": 0.633, "spacegroup": "No. 122", "lattice_angstrom": [[-2.309, 2.309, 12.567], [2.309, -2.309, 12.567], [2.309, 2.309, -12.567]], "species": ["K", "K", "K", "K", "Sr", "Sr", "Ir", "Ir"], "frac_coords": [[0.095, 0.625, 0.970], [0.375, 0.345, 0.470], [0.655, 0.125, 0.030], [0.875, 0.905, 0.530], [0.250, 0.750, 0.500], [0.500, 0.500, 0.000], [0.000, 0.000, 0.000], [0.750, 0.250, 0.500]]}

Entry 5:
{"formula": "K2SrIr", "functional": "PBE-GGA", "state": "optimized geometry", "de_polymorph_kj_per_mol_fu": 79.2, "energy_ev_per_atom": -2.685, "e_form_ev_per_atom": 0.499, "spacegroup": "No. 44", "lattice_angstrom": [[-2.766, 2.806, 3.941], [2.766, -2.806, 3.941], [2.766, 2.806, -3.941]], "species": ["K", "K", "Sr", "Ir"], "frac_coords": [[0.000, 0.000, 0.000], [0.748, 0.248, 0.500], [0.496, 0.496, 0.000], [0.251, 0.751, 0.500]]}

Entry 6:
{"formula": "K2SrIr", "functional": "PBE-GGA", "state": "optimized geometry", "de_polymorph_kj_per_mol_fu": 30.7, "energy_ev_per_atom": -2.811, "e_form_ev_per_atom": 0.373, "spacegroup": "No. 160", "lattice_angstrom": [[2.461, 1.421, 8.513], [-2.461, 1.421, 8.513], [0.000, -2.842, 8.513]], "species": ["K", "K", "Sr", "Ir"], "frac_coords": [[0.000, 0.000, 0.000], [0.187, 0.187, 0.187], [0.428, 0.428, 0.428], [0.762, 0.762, 0.762]]}

Entry 7:
{"formula": "K2SrIr", "functional": "PBE-GGA", "state": "optimized geometry", "de_polymorph_kj_per_mol_fu": 216.7, "energy_ev_per_atom": -2.329, "e_form_ev_per_atom": 0.855, "spacegroup": "No. 123", "lattice_angstrom": [[3.619, 0.000, 0.000], [0.000, 3.619, 0.000], [0.000, 0.000, 12.111]], "species": ["K", "K", "Sr", "Ir"], "frac_coords": [[0.000, 0.000, 0.168], [0.000, 0.000, 0.832], [0.500, 0.500, 0.500], [0.500, 0.500, 0.000]]}

Entry 8:
{"formula": "KSrIr2", "functional": "PBE-GGA", "state": "optimized geometry", "de_polymorph_kj_per_mol_fu": 32.0, "energy_ev_per_atom": -4.875, "e_form_ev_per_atom": 0.250, "spacegroup": "No. 12", "lattice_angstrom": [[5.462, -2.219, 0.000], [5.462, 2.219, 0.000], [-4.408, 0.000, 5.992]], "species": ["K", "Sr", "Ir", "Ir"], "frac_coords": [[0.000, 0.000, 0.000], [0.500, 0.500, 0.500], [0.252, 0.252, 0.559], [0.748, 0.748, 0.441]]}

Entry 9:
{"formula": "KSrIr3", "functional": "PBE-GGA", "state": "optimized geometry", "de_polymorph_kj_per_mol_fu": 0.0, "energy_ev_per_atom": -3.650, "e_form_ev_per_atom": 2.222, "spacegroup": "No. 221", "lattice_angstrom": [[4.913, 0.000, 0.000], [0.000, 4.913, 0.000], [0.000, 0.000, 4.913]], "species": ["K", "Sr", "Ir", "Ir", "Ir"], "frac_coords": [[0.000, 0.000, 0.000], [0.500, 0.500, 0.500], [0.000, 0.000, 0.500], [0.000, 0.500, 0.000], [0.500, 0.000, 0.000]]}

Entry 10:
{"formula": "KSr2Ir2", "functional": "PBE-GGA", "state": "optimized geometry", "de_polymorph_kj_per_mol_fu": 23.5, "energy_ev_per_atom": -4.114, "e_form_ev_per_atom": 0.323, "spacegroup": "No. 139", "lattice_angstrom": [[-2.746, 2.746, 5.246], [2.746, -2.746, 5.246], [2.746, 2.746, -5.246]], "species": ["K", "Sr", "Sr", "Ir", "Ir"], "frac_coords": [[0.000, 0.000, 0.000], [0.250, 0.750, 0.500], [0.750, 0.250, 0.500], [0.383, 0.383, 0.000], [0.617, 0.617, 0.000]]}

Entry 11:
{"formula": "KSrIr2", "functional": "PBE-GGA", "state": "optimized geometry", "de_polymorph_kj_per_mol_fu": 243.7, "energy_ev_per_atom": -4.327, "e_form_ev_per_atom": 0.798, "spacegroup": "No. 122", "lattice_angstrom": [[-4.266, 4.266, 2.642], [4.266, -4.266, 2.642], [4.266, 4.266, -2.642]], "species": ["K", "K", "Sr", "Sr", "Ir", "Ir", "Ir", "Ir"], "frac_coords": [[0.000, 0.000, 0.000], [0.750, 0.250, 0.500], [0.250, 0.750, 0.500], [0.500, 0.500, 0.000], [0.128, 0.625, 0.003], [0.375, 0.378, 0.503], [0.622, 0.125, 0.997], [0.875, 0.872, 0.497]]}

Entry 12:
{"formula": "K4SrIr", "functional": "PBE-GGA", "state": "optimized geometry", "energy_ev_per_atom": -1.666, "e_form_ev_per_atom": 0.823, "spacegroup": "No. 216", "lattice_angstrom": [[0.000, 4.966, 4.966], [4.966, 0.000, 4.966], [4.966, 4.966, 0.000]], "species": ["K", "K", "K", "K", "Sr", "Ir"], "frac_coords": [[0.378, 0.378, 0.378], [0.378, 0.378, 0.865], [0.378, 0.865, 0.378], [0.865, 0.378, 0.378], [0.000, 0.000, 0.000], [0.750, 0.750, 0.750]]}

Entry 13:
{"formula": "K2SrIr", "functional": "PBE-GGA", "state": "optimized geometry", "de_polymorph_kj_per_mol_fu": 10.5, "energy_ev_per_atom": -2.864, "e_form_ev_per_atom": 0.321, "spacegroup": "No. 25", "lattice_angstrom": [[3.705, 0.000, 0.000], [0.000, 3.918, 0.000], [0.000, 0.000, 11.444]], "species": ["K", "K", "Sr", "Ir"], "frac_coords": [[0.000, 0.000, 0.000], [0.500, 0.500, 0.364], [0.500, 0.500, 0.671], [0.000, 0.000, 0.548]]}

Entry 14:
{"formula": "K2SrIr", "functional": "PBE-GGA", "state": "optimized geometry", "de_polymorph_kj_per_mol_fu": 100.6, "energy_ev_per_atom": -2.630, "e_form_ev_per_atom": 0.554, "spacegroup": "No. 139", "lattice_angstrom": [[-2.341, 2.341, 5.813], [2.341, -2.341, 5.813], [2.341, 2.341, -5.813]], "species": ["K", "K", "Sr", "Ir"], "frac_coords": [[0.250, 0.750, 0.500], [0.750, 0.250, 0.500], [0.000, 0.000, 0.000], [0.500, 0.500, 0.000]]}

Entry 15:
{"formula": "KSrZn2Ir", "functional": "PBE-GGA", "state": "optimized geometry", "energy_ev_per_atom": -2.866, "e_form_ev_per_atom": -0.028, "spacegroup": "No. 123", "lattice_angstrom": [[5.078, 0.000, 0.000], [0.000, 5.078, 0.000], [0.000, 0.000, 5.551]], "species": ["K", "Sr", "Zn", "Zn", "Ir"], "frac_coords": [[0.000, 0.000, 0.000], [0.500, 0.500, 0.000], [0.000, 0.500, 0.500], [0.500, 0.000, 0.500], [0.500, 0.500, 0.500]]}

Entry 16:
{"formula": "K2TaIr", "functional": "PBE-GGA", "state": "optimized geometry", "de_polymorph_kj_per_mol_fu": 205.9, "energy_ev_per_atom": -4.845, "e_form_ev_per_atom": 0.882, "spacegroup": "No. 139", "lattice_angstrom": [[-1.935, 1.935, 6.006], [1.935, -1.935, 6.006], [1.935, 1.935, -6.006]], "species": ["K", "K", "Ta", "Ir"], "frac_coords": [[0.250, 0.750, 0.500], [0.750, 0.250, 0.500], [0.000, 0.000, 0.000], [0.500, 0.500, 0.000]]}

Entry 17:
{"formula": "K2TaIr", "functional": "PBE-GGA", "state": "optimized geometry", "de_polymorph_kj_per_mol_fu": 0.0, "energy_ev_per_atom": -5.379, "e_form_ev_per_atom": 0.348, "spacegroup": "No. 25", "lattice_angstrom": [[3.443, 0.000, 0.000], [0.000, 3.471, 0.000], [0.000, 0.000, 10.823]], "species": ["K", "K", "Ta", "Ir"], "frac_coords": [[0.000, 0.000, 0.000], [0.500, 0.500, 0.407], [0.500, 0.500, 0.731], [0.000, 0.000, 0.648]]}

Entry 18:
{"formula": "K3TaIr", "functional": "PBE-GGA", "state": "optimized geometry", "de_polymorph_kj_per_mol_fu": 160.1, "energy_ev_per_atom": -2.552, "e_form_ev_per_atom": 2.250, "spacegroup": "No. 221", "lattice_angstrom": [[6.502, 0.000, 0.000], [0.000, 6.502, 0.000], [0.000, 0.000, 6.502]], "species": ["K", "K", "K", "Ta", "Ir"], "frac_coords": [[0.000, 0.000, 0.500], [0.000, 0.500, 0.000], [0.500, 0.000, 0.000], [0.000, 0.000, 0.000], [0.500, 0.500, 0.500]]}

Entry 19:
{"formula": "K2TaIr", "functional": "PBE-GGA", "state": "optimized geometry", "de_polymorph_kj_per_mol_fu": 322.6, "energy_ev_per_atom": -4.543, "e_form_ev_per_atom": 1.184, "spacegroup": "No. 123", "lattice_angstrom": [[2.798, 0.000, 0.000], [0.000, 2.798, 0.000], [0.000, 0.000, 11.941]], "species": ["K", "K", "Ta", "Ir"], "frac_coords": [[0.000, 0.000, 0.219], [0.000, 0.000, 0.781], [0.500, 0.500, 0.500], [0.500, 0.500, 0.000]]}

Entry 20:
{"formula": "KTaIr4", "functional": "PBE-GGA", "state": "optimized geometry", "energy_ev_per_atom": -7.754, "e_form_ev_per_atom": 0.312, "spacegroup": "No. 216", "lattice_angstrom": [[0.000, 3.729, 3.729], [3.729, 0.000, 3.729], [3.729, 3.729, 0.000]], "species": ["K", "Ta", "Ir", "Ir", "Ir", "Ir"], "frac_coords": [[0.000, 0.000, 0.000], [0.750, 0.750, 0.750], [0.375, 0.375, 0.375], [0.375, 0.375, 0.875], [0.375, 0.875, 0.375], [0.875, 0.375, 0.375]]}

Entry 21:
{"formula": "K2TaIr", "functional": "PBE-GGA", "state": "optimized geometry", "de_polymorph_kj_per_mol_fu": 23.7, "energy_ev_per_atom": -5.317, "e_form_ev_per_atom": 0.410, "spacegroup": "No. 8", "lattice_angstrom": [[3.349, -1.923, 0.000], [3.349, 1.923, 0.000], [-1.808, 0.000, 11.286]], "species": ["K", "K", "Ta", "Ir"], "frac_coords": [[0.000, 0.000, 0.000], [0.172, 0.172, 0.613], [0.422, 0.422, 0.321], [0.728, 0.728, 0.226]]}

Entry 22:
{"formula": "K2TaIr", "functional": "PBE-GGA", "state": "optimized geometry", "de_polymorph_kj_per_mol_fu": 285.0, "energy_ev_per_atom": -4.640, "e_form_ev_per_atom": 1.087, "spacegroup": "No. 47", "lattice_angstrom": [[2.842, 0.000, 0.000], [0.000, 5.425, 0.000], [0.000, 0.000, 5.925]], "species": ["K", "K", "Ta", "Ir"], "frac_coords": [[0.000, 0.245, 0.000], [0.000, 0.755, 0.000], [0.500, 0.500, 0.500], [0.500, 0.000, 0.500]]}

Entry 23:
{"formula": "K2TaIr", "functional": "PBE-GGA", "state": "optimized geometry", "de_polymorph_kj_per_mol_fu": 235.2, "energy_ev_per_atom": -4.769, "e_form_ev_per_atom": 0.958, "spacegroup": "No. 12", "lattice_angstrom": [[2.767, -6.130, 0.000], [2.767, 6.130, 0.000], [-1.730, 0.000, 2.630]], "species": ["K", "K", "Ta", "Ir"], "frac_coords": [[0.000, 0.500, 0.000], [0.500, 0.000, 0.000], [0.000, 0.000, 0.500], [0.500, 0.500, 0.500]]}

Entry 24:
{"formula": "K3TaIr", "functional": "PBE-GGA", "state": "optimized geometry", "de_polymorph_kj_per_mol_fu": 0.0, "energy_ev_per_atom": -2.884, "e_form_ev_per_atom": 1.918, "spacegroup": "No. 221", "lattice_angstrom": [[6.079, 0.000, 0.000], [0.000, 6.079, 0.000], [0.000, 0.000, 6.079]], "species": ["K", "K", "K", "Ta", "Ir"], "frac_coords": [[0.000, 0.000, 0.500], [0.000, 0.500, 0.000], [0.500, 0.000, 0.000], [0.500, 0.500, 0.500], [0.000, 0.000, 0.000]]}

Entry 25:
{"formula": "K2TaIr", "functional": "PBE-GGA", "state": "optimized geometry", "de_polymorph_kj_per_mol_fu": 236.1, "energy_ev_per_atom": -4.767, "e_form_ev_per_atom": 0.960, "spacegroup": "No. 10", "lattice_angstrom": [[3.152, 0.000, 0.000], [0.000, 6.128, 0.000], [-0.111, 0.000, 4.630]], "species": ["K", "K", "Ta", "Ir"], "frac_coords": [[0.246, 0.000, 0.256], [0.754, 0.000, 0.744], [0.500, 0.500, 0.000], [0.000, 0.500, 0.500]]}

Entry 26:
{"formula": "KTaIr3", "functional": "PBE-GGA", "state": "optimized geometry", "de_polymorph_kj_per_mol_fu": 866.0, "energy_ev_per_atom": -4.995, "e_form_ev_per_atom": 2.912, "spacegroup": "No. 221", "lattice_angstrom": [[4.588, 0.000, 0.000], [0.000, 4.588, 0.000], [0.000, 0.000, 4.588]], "species": ["K", "Ta", "Ir", "Ir", "Ir"], "frac_coords": [[0.000, 0.000, 0.000], [0.500, 0.500, 0.500], [0.000, 0.000, 0.500], [0.000, 0.500, 0.000], [0.500, 0.000, 0.000]]}

Entry 27:
{"formula": "K2TaIr", "functional": "PBE-GGA", "state": "optimized geometry", "de_polymorph_kj_per_mol_fu": 718.3, "energy_ev_per_atom": -3.518, "e_form_ev_per_atom": 2.209, "spacegroup": "No. 225", "lattice_angstrom": [[0.000, 3.696, 3.696], [3.696, 0.000, 3.696], [3.696, 3.696, 0.000]], "species": ["K", "K", "Ta", "Ir"], "frac_coords": [[0.250, 0.250, 0.250], [0.750, 0.750, 0.750], [0.000, 0.000, 0.000], [0.500, 0.500, 0.500]]}

Entry 28:
{"formula": "KTa3Ir", "functional": "PBE-GGA", "state": "optimized geometry", "de_polymorph_kj_per_mol_fu": 0.0, "energy_ev_per_atom": -7.862, "e_form_ev_per_atom": 1.242, "spacegroup": "No. 221", "lattice_angstrom": [[5.000, 0.000, 0.000], [0.000, 5.000, 0.000], [0.000, 0.000, 5.000]], "species": ["K", "Ta", "Ta", "Ta", "Ir"], "frac_coords": [[0.000, 0.000, 0.000], [0.000, 0.500, 0.500], [0.500, 0.000, 0.500], [0.500, 0.500, 0.000], [0.500, 0.500, 0.500]]}

Entry 29:
{"formula": "K2TaIr", "functional": "PBE-GGA", "state": "optimized geometry", "de_polymorph_kj_per_mol_fu": 371.2, "energy_ev_per_atom": -4.417, "e_form_ev_per_atom": 1.310, "spacegroup": "No. 216", "lattice_angstrom": [[0.000, 3.552, 3.552], [3.552, 0.000, 3.552], [3.552, 3.552, 0.000]], "species": ["K", "K", "Ta", "Ir"], "frac_coords": [[0.000, 0.000, 0.000], [0.250, 0.250, 0.250], [0.750, 0.750, 0.750], [0.500, 0.500, 0.500]]}

| no. | M_tot (μB per atom) |
| --- | --- |
| 1 | 0.0001 |
| 2 | 0.0000 |
| 3 | 0.0000 |
| 4 | 0.0000 |
| 5 | 0.0000 |
| 6 | 0.0000 |
| 7 | 0.2468 |
| 8 | 0.0000 |
| 9 | 0.2717 |
| 10 | 0.2244 |
| 11 | 0.0000 |
| 12 | 0.0000 |
| 13 | 0.0337 |
| 14 | 0.0000 |
| 15 | 0.0000 |
| 16 | 0.1079 |
| 17 | 0.1217 |
| 18 | 1.3397 |
| 19 | 0.0000 |
| 20 | 0.0000 |
| 21 | 0.0000 |
| 22 | 0.1073 |
| 23 | 0.1182 |
| 24 | 0.7407 |
| 25 | 0.1509 |
| 26 | 0.0000 |
| 27 | 0.0000 |
| 28 | 0.0000 |
| 29 | 0.2666 |